{"formula": "ZrAlRh", "functional": "GGA-PBEsol", "state": "relaxed", "cell": [[-1.311, 1.807, 2.040], [-1.658, -2.027, -1.512], [1.136, -4.340, 4.573]], "species": ["Al", "Zr", "Rh"], "fractional_positions": [[0.000, 0.000, 0.970], [0.333, 0.667, 0.347], [0.667, 0.333, 0.682]], "m_tot_mub_per_fu": 0.00, "dos_at_fermi_per_ev_atom": 0.864, "crystal_system": "trigonal", "dft_energy_ev_per_atom": -7.4918}

---

{"formula": "FeRu2Se", "functional": "GGA-PBEsol", "state": "relaxed", "cell": [[3.006, 0.000, 0.000], [0.000, 4.222, 0.000], [0.000, 0.000, 4.222]], "species": ["Se", "Ru", "Ru", "Fe"], "fractional_positions": [[0.500, 0.500, 0.500], [0.000, 0.500, 0.000], [0.000, 0.000, 0.500], [0.500, 0.000, 0.000]], "m_tot_mub_per_fu": 3.56, "dos_at_fermi_per_ev_atom": 1.142, "crystal_system": "tetragonal", "e_form_raw_ev_per_atom": 0.303}

---

{"formula": "Fe2CuBr", "functional": "GGA-PBEsol", "state": "relaxed", "cell": [[-1.346, -2.495, -1.342], [2.842, -2.463, 1.728], [-2.473, -0.483, 3.379]], "species": ["Fe", "Fe", "Br", "Cu"], "fractional_positions": [[0.500, 0.500, 0.000], [0.000, 0.000, 0.000], [0.500, 0.000, 0.500], [0.000, 0.500, 0.500]], "m_tot_mub_per_fu": 5.56, "dos_at_fermi_per_ev_atom": 0.939, "crystal_system": "orthorhombic", "e_form_raw_ev_per_atom": 0.704}

---

{"formula": "SrBe2Re", "functional": "GGA-PBEsol", "state": "relaxed", "cell": [[-1.619, -1.288, -2.651], [-1.011, -2.567, 1.864], [-4.378, 4.306, 0.582]], "species": ["Re", "Be", "Be", "Sr"], "fractional_positions": [[0.000, 0.140, 0.279], [0.000, 0.766, 0.532], [0.500, 0.662, 0.324], [0.500, 0.425, 0.851]], "m_tot_mub_per_fu": 0.00, "dos_at_fermi_per_ev_atom": 0.606, "crystal_system": "orthorhombic", "dft_energy_ev_per_atom": -5.3337}

---

{"formula": "P2RhSN", "functional": "GGA-PBEsol", "state": "relaxed", "cell": [[3.989, 0.000, 0.000], [0.000, 3.989, 0.000], [0.000, 0.000, 3.893]], "species": ["S", "Rh", "P", "P", "N"], "fractional_positions": [[0.000, 0.000, 0.500], [0.500, 0.500, 0.500], [0.500, 0.000, 0.000], [0.000, 0.500, 0.000], [0.000, 0.000, 0.000]], "m_tot_mub_per_fu": 0.00, "dos_at_fermi_per_ev_atom": 0.330, "crystal_system": "tetragonal", "e_form_raw_ev_per_atom": 0.707}

---

{"formula": "Sm3SnN", "functional": "GGA-PBEsol", "state": "relaxed", "cell": [[-4.702, -0.298, -1.210], [1.242, -0.749, -4.643], [0.098, -4.797, 0.800]], "species": ["Sm", "Sm", "Sm", "N", "Sn"], "fractional_positions": [[0.500, 0.000, 0.500], [0.500, 0.500, 0.000], [0.000, 0.500, 0.500], [0.500, 0.500, 0.500], [0.000, 0.000, 0.000]], "m_tot_mub_per_fu": 0.00, "dos_at_fermi_per_ev_atom": 0.550, "crystal_system": "cubic", "e_form_raw_ev_per_atom": -1.102}

---

{"formula": "BaFe2P2O8", "functional": "GGA-PBEsol", "state": "relaxed", "cell": [[4.820, 0.000, 0.000], [2.410, 4.174, 0.000], [2.410, 1.391, 7.848]], "species": ["P", "P", "O", "O", "O", "O", "O", "O", "O", "O", "Fe", "Fe", "Ba"], "fractional_positions": [[0.575, 0.575, 0.274], [0.425, 0.425, 0.726], [0.360, 0.360, 0.920], [0.563, 0.243, 0.340], [0.146, 0.437, 0.660], [0.243, 0.854, 0.340], [0.854, 0.563, 0.340], [0.757, 0.146, 0.660], [0.640, 0.640, 0.080], [0.437, 0.757, 0.660], [0.169, 0.169, 0.493], [0.831, 0.831, 0.507], [0.000, 0.000, 0.000]], "m_tot_mub_per_fu": 8.00, "dos_at_fermi_per_ev_atom": 0.271, "crystal_system": "trigonal", "e_form_raw_ev_per_atom": -2.116}

---

{"formula": "CdCoCu2P", "functional": "GGA-PBEsol", "state": "relaxed", "cell": [[4.126, 0.000, 0.000], [0.000, 4.265, 0.000], [0.000, 0.000, 4.265]], "species": ["Cd", "P", "Cu", "Cu", "Co"], "fractional_positions": [[0.500, 0.500, 0.500], [0.000, 0.000, 0.000], [0.000, 0.000, 0.500], [0.000, 0.500, 0.000], [0.500, 0.000, 0.000]], "m_tot_mub_per_fu": 0.01, "dos_at_fermi_per_ev_atom": 0.401, "crystal_system": "tetragonal", "dft_energy_ev_per_atom": -4.4846}

---

Question: Number 4 is which compound?
Answer: SrBe2Re

---

Question: What is the formula in the seventh record?
Answer: BaFe2P2O8